# 1
Entry from OQMD: a relaxed structure of PmGdMg (GGA-PBE).

Results
Total moment in μB per formula unit: 0.6
Final energy in Ry/atom: -0.2390

POSCAR file:
```
PmGdMg
1.0
0.0000 3.7464 3.7464
3.7464 0.0000 3.7464
3.7464 3.7464 0.0000
Pm Gd Mg
1 1 1
Cartesian
0.0000 0.0000 0.0000
3.7464 3.7464 3.7464
5.6197 5.6197 5.6197
```

# 2
Entry from OQMD: a relaxed structure of PrGd2Mg4Tl2 (GGA-PBE).

Results
Total moment in μB per formula unit: 0.0
Final energy in Ry/atom: -0.2233

POSCAR file:
```
PrGd2Mg4Tl2
1.0
4.7213 0.0000 0.0000
0.0000 6.6939 3.8115
0.0000 -6.6939 3.8115
Pr Gd Mg Tl
1 2 4 2
Cartesian
0.0000 0.0000 0.0000
0.0000 -2.8956 4.9127
0.0000 2.8956 4.9127
0.0000 0.0000 3.3307
2.3606 -1.6203 2.3618
2.3606 1.6203 2.3618
2.3606 0.0000 5.1384
2.3606 -4.4258 3.2610
2.3606 4.4258 3.2610
```

# 3
Entry from OQMD: a relaxed structure of Pr2GdMg4Zn2 (GGA-PBE).

Results
Total moment in μB per formula unit: 0.0
Final energy in Ry/atom: -0.2009

POSCAR file:
```
Pr2GdMg4Zn2
1.0
4.7829 0.0000 0.0000
0.0000 6.4190 3.6960
0.0000 -6.4190 3.6960
Pr Gd Mg Zn
2 1 4 2
Cartesian
0.0000 -3.6634 3.6960
0.0000 3.6634 3.6960
0.0000 0.0000 2.5673
0.0000 0.0000 5.7463
2.3915 0.0000 0.2108
2.3915 -1.5781 4.8588
2.3915 1.5781 4.8588
2.3915 -2.1058 2.1016
2.3915 2.1058 2.1016
```

# 4
Entry from OQMD: a relaxed structure of GdMgPt (GGA-PBE).

Results
Total moment in μB per formula unit: 0.0
Final energy in Ry/atom: -0.3548

POSCAR file:
```
GdMgPt
1.0
7.6634 0.0000 0.0000
-3.8317 6.6367 0.0000
0.0000 0.0000 3.9976
Gd Mg Pt
3 3 3
Cartesian
-1.0362 1.7948 0.0000
2.0725 0.0000 0.0000
2.7955 4.8419 0.0000
-2.3172 4.0135 1.9988
1.5145 2.6232 1.9988
4.6344 0.0000 1.9988
0.0000 0.0000 1.9988
0.0000 4.4245 0.0000
3.8317 2.2122 0.0000
```